1.
! PBE Ce2Cd5Hg3, optimized geometry; values from VASP
! Calculated volume, Å³/f.u.: 257.7
! Theoretical density, Mg/m³: 9.31
! Formation energy from the elements, eV per atom: -0.143
! E_tot, eV per cell: -37.6
! Fermi-level density of states, states/eV per atom: 2.0148
! Total magnetic moment, μB per atom: 0.241
! Space group: Ibam (72)
&SYSTEM
  ibrav = 0, nat = 20, ntyp = 3
/
ATOMIC_SPECIES
Ce 140.12 Ce.upf
Cd 112.41 Cd.upf
Hg 200.59 Hg.upf
CELL_PARAMETERS angstrom
-6.3486 6.3897 3.1760
6.3486 -6.3897 3.1760
6.3486 6.3897 -3.1760
ATOMIC_POSITIONS crystal
Ce 0.2469 0.1239 0.3709
Ce 0.2531 0.6239 0.8770
Ce 0.7469 0.3761 0.1230
Ce 0.7531 0.8761 0.6291
Cd 0.1372 0.8707 0.0079
Cd 0.2500 0.5062 0.2562
Cd 0.2500 0.7500 0.5000
Cd 0.2500 0.9938 0.7438
Cd 0.3628 0.3707 0.7335
Cd 0.6372 0.6293 0.2665
Cd 0.7500 0.0062 0.2562
Cd 0.7500 0.2500 0.5000
Cd 0.7500 0.4938 0.7438
Cd 0.8628 0.1293 0.9921
Hg 0.1483 0.3772 0.5256
Hg 0.2500 0.2500 0.0000
Hg 0.3517 0.8772 0.2289
Hg 0.6483 0.1228 0.7711
Hg 0.7500 0.7500 0.0000
Hg 0.8517 0.6228 0.4744

***

2.
! PBE Ce2Cd2Hg, optimized geometry; values from VASP
! Calculated volume, Å³/f.u.: 126.7
! Theoretical density, Mg/m³: 9.25
! Formation energy from the elements, eV per atom: -0.188
! E_tot, eV per cell: -29.9
! Fermi-level density of states, states/eV per atom: 1.7761
! Total magnetic moment, μB per atom: 0.223
! Excess energy over the best structure of this formula in the dataset, eV per atom: 0.054
! Space group: C2/c (15)
&SYSTEM
  ibrav = 0, nat = 10, ntyp = 3
/
ATOMIC_SPECIES
Ce 140.12 Ce.upf
Cd 112.41 Cd.upf
Hg 200.59 Hg.upf
CELL_PARAMETERS angstrom
6.0378 -2.9017 0.0000
6.0378 2.9017 0.0000
-2.8269 0.0000 7.2311
ATOMIC_POSITIONS crystal
Ce 0.0477 0.8005 0.5626
Ce 0.1995 0.9523 0.9374
Ce 0.8005 0.0477 0.0626
Ce 0.9523 0.1995 0.4374
Cd 0.1642 0.4367 0.8491
Cd 0.4367 0.1642 0.3491
Cd 0.5633 0.8358 0.6509
Cd 0.8358 0.5633 0.1509
Hg 0.3786 0.6214 0.2500
Hg 0.6214 0.3786 0.7500

***

3.
! PBE Ce3Cd3Hg2, optimized geometry; values from VASP
! Calculated volume, Å³/f.u.: 204.4
! Theoretical density, Mg/m³: 9.42
! Formation energy from the elements, eV per atom: -0.221
! E_tot, eV per cell: -22.9
! Fermi-level density of states, states/eV per atom: 2.2628
! Total magnetic moment, μB per atom: 0.429
! Excess energy over the best structure of this formula in the dataset, eV per atom: 0.000
! Space group: C2/m (12)
&SYSTEM
  ibrav = 0, nat = 8, ntyp = 3
/
ATOMIC_SPECIES
Ce 140.12 Ce.upf
Cd 112.41 Cd.upf
Hg 200.59 Hg.upf
CELL_PARAMETERS angstrom
8.9230 -2.4477 0.0000
8.9230 2.4477 0.0000
-1.3061 0.0000 4.6784
ATOMIC_POSITIONS crystal
Ce 0.0000 0.0000 0.0000
Ce 0.1295 0.1295 0.6309
Ce 0.8705 0.8705 0.3691
Cd 0.3655 0.3655 0.8649
Cd 0.5000 0.5000 0.5000
Cd 0.6345 0.6345 0.1351
Hg 0.2479 0.2479 0.2481
Hg 0.7521 0.7521 0.7519

***

4.
! PBE Ce5CdHg3, optimized geometry; values from VASP
! Calculated volume, Å³/f.u.: 251.7
! Theoretical density, Mg/m³: 9.33
! Formation energy from the elements, eV per atom: -0.181
! E_tot, eV per cell: -66.2
! Fermi-level density of states, states/eV per atom: 3.0378
! Total magnetic moment, μB per atom: 0.734
! Space group: P6_3/mcm (193)
&SYSTEM
  ibrav = 0, nat = 18, ntyp = 3
/
ATOMIC_SPECIES
Ce 140.12 Ce.upf
Cd 112.41 Cd.upf
Hg 200.59 Hg.upf
CELL_PARAMETERS angstrom
9.4444 0.0000 0.0000
-4.7222 8.1791 0.0000
0.0000 0.0000 6.5163
ATOMIC_POSITIONS crystal
Ce 0.0000 0.3127 0.2500
Ce 0.0000 0.6873 0.7500
Ce 0.3127 0.0000 0.2500
Ce 0.3127 0.3127 0.7500
Ce 0.3333 0.6667 0.0000
Ce 0.3333 0.6667 0.5000
Ce 0.6667 0.3333 0.0000
Ce 0.6667 0.3333 0.5000
Ce 0.6873 0.0000 0.7500
Ce 0.6873 0.6873 0.2500
Cd 0.0000 0.0000 0.0000
Cd 0.0000 0.0000 0.5000
Hg 0.0000 0.3527 0.7500
Hg 0.0000 0.6473 0.2500
Hg 0.3527 0.0000 0.7500
Hg 0.3527 0.3527 0.2500
Hg 0.6473 0.0000 0.2500
Hg 0.6473 0.6473 0.7500

***

> Which value of E_tot does entry 2 give?

-29.9 eV per cell